(1)
VASP calculation (PBE) on an optimized crystal structure of CsPu2InBr8.

```
data_CsPu2InBr8
_symmetry_space_group_name_H-M 'P -1'
_symmetry_Int_Tables_number 2
_cell_length_a 7.1623
_cell_length_b 7.8928
_cell_length_c 8.9566
_cell_angle_alpha 89.90
_cell_angle_beta 89.86
_cell_angle_gamma 87.80
loop_
_symmetry_equiv_pos_as_xyz
'x,y,z'
'-x,-y,-z'
loop_
_atom_site_label
_atom_site_fract_x
_atom_site_fract_y
_atom_site_fract_z
Cs1 0.0000 0.0000 0.0000
Pu1 0.5000 0.5000 0.2544
In1 0.0000 0.0000 0.5000
Br1 0.2702 0.3773 0.5006
Br2 0.2746 0.3897 0.0007
Br3 0.2924 0.8103 0.7298
Br4 0.2927 0.8105 0.2696
```

Computed properties:
- D(E_F) (states/eV/f.u.) = 24.05
- total magnetization (μB per cell) = 10.00
- DFT total energy (eV/cell) = -62.5

(2)
VASP calculation (PBE) on an optimized crystal structure of Cs3PuIn2Br9.

```
data_Cs3PuIn2Br9
_symmetry_space_group_name_H-M 'P -3 m 1'
_symmetry_Int_Tables_number 164
_symmetry_space_group_name_Hall '-P 3 2"'
_cell_length_a 8.3685
_cell_length_b 8.3685
_cell_length_c 10.3239
_cell_angle_alpha 90.00
_cell_angle_beta 90.00
_cell_angle_gamma 120.00
loop_
_atom_site_label
_atom_site_fract_x
_atom_site_fract_y
_atom_site_fract_z
Cs1 0.0000 0.0000 0.0000
Cs2 0.3333 0.6667 0.6823
Pu1 0.0000 0.0000 0.5000
In1 0.3333 0.6667 0.1559
Br1 0.0000 0.5000 0.0000
Br2 0.1606 0.3212 0.3404
```

Computed properties:
- D(E_F) (states/eV/f.u.) = 12.40
- total magnetization (μB per cell) = 4.96
- DFT total energy (eV/cell) = -58.1

(3)
VASP calculation (PBE) on an optimized crystal structure of CsPu2In2Br7.

```
data_CsPu2In2Br7
_symmetry_space_group_name_H-M 'C 1 m 1'
_symmetry_Int_Tables_number 8
_cell_length_a 31.9857
_cell_length_b 5.7917
_cell_length_c 5.7907
_cell_angle_alpha 90.00
_cell_angle_beta 100.43
_cell_angle_gamma 90.00
loop_
_symmetry_equiv_pos_as_xyz
'x,y,z'
'x,-y,z'
'x+1/2,y+1/2,z'
'x+1/2,-y+1/2,z'
loop_
_atom_site_label
_atom_site_fract_x
_atom_site_fract_y
_atom_site_fract_z
Cs1 0.0000 0.0000 0.0000
Pu1 0.0952 0.5000 0.5958
Pu2 0.4047 0.0000 0.4049
In1 0.2500 0.0000 0.7633
In2 0.2502 0.5000 0.2652
Br1 0.0000 0.5000 0.5006
Br2 0.0868 0.0000 0.5865
Br3 0.0868 0.5000 0.0874
Br4 0.1877 0.5000 0.6942
Br5 0.3122 0.0000 0.3172
Br6 0.4131 0.0000 0.9133
Br7 0.4130 0.5000 0.4125
```

Computed properties:
- D(E_F) (states/eV/f.u.) = 34.07
- total magnetization (μB per cell) = 0.01
- DFT total energy (eV/cell) = -121.9

(4)
VASP calculation (PBE) on an optimized crystal structure of CsRbInBr3.

```
data_CsRbInBr3
_symmetry_space_group_name_H-M 'C 1 2/m 1'
_symmetry_Int_Tables_number 12
_cell_length_a 19.7351
_cell_length_b 5.8061
_cell_length_c 9.5866
_cell_angle_alpha 90.00
_cell_angle_beta 104.54
_cell_angle_gamma 90.00
loop_
_symmetry_equiv_pos_as_xyz
'x,y,z'
'-x,-y,-z'
'-x,y,-z'
'x,-y,z'
'x+1/2,y+1/2,z'
'-x+1/2,-y+1/2,-z'
'-x+1/2,y+1/2,-z'
'x+1/2,-y+1/2,z'
loop_
_atom_site_label
_atom_site_fract_x
_atom_site_fract_y
_atom_site_fract_z
Cs1 0.1502 0.0000 0.0751
Rb1 0.1545 0.0000 0.5729
In1 0.0015 0.5000 0.3283
Br1 0.0010 0.0000 0.2410
Br2 0.1588 0.5000 0.8167
Br3 0.1657 0.5000 0.3396
```

Computed properties:
- total magnetization (μB per cell) = 0.00
- DFT total energy (eV/cell) = -71.0

> Which value of total magnetization does entry 3 give?

0.01 μB per cell

> What is the total magnetization in the second record?

4.96 μB per cell

> Which of these has the lowest DFT total energy?

CsPu2In2Br7

Please write out number 2 again, unchanged.
VASP calculation (PBE) on an optimized crystal structure of Cs3PuIn2Br9.

```
data_Cs3PuIn2Br9
_symmetry_space_group_name_H-M 'P -3 m 1'
_symmetry_Int_Tables_number 164
_symmetry_space_group_name_Hall '-P 3 2"'
_cell_length_a 8.3685
_cell_length_b 8.3685
_cell_length_c 10.3239
_cell_angle_alpha 90.00
_cell_angle_beta 90.00
_cell_angle_gamma 120.00
loop_
_atom_site_label
_atom_site_fract_x
_atom_site_fract_y
_atom_site_fract_z
Cs1 0.0000 0.0000 0.0000
Cs2 0.3333 0.6667 0.6823
Pu1 0.0000 0.0000 0.5000
In1 0.3333 0.6667 0.1559
Br1 0.0000 0.5000 0.0000
Br2 0.1606 0.3212 0.3404
```

Computed properties:
- D(E_F) (states/eV/f.u.) = 12.40
- total magnetization (μB per cell) = 4.96
- DFT total energy (eV/cell) = -58.1